1.
# SmHo7Tm3 PBE relaxed
# Total magnetization: 0.00 μB per cell
# E_form: 1.6 eV per formula unit
# Energy above the lowest structure with this stoichiometry: 0.00 eV/f.u.
# E: -4.41 eV/atom
data_SmHo7Tm3
_chemical_formula_sum 'Sm1 Ho7 Tm3'
_space_group_name_H-M_alt 'P 1 2/m 1'
_space_group_IT_number 10
_space_group_name_Hall '-P 2y'
_cell_length_a 6.8962
_cell_length_b 5.4915
_cell_length_c 9.8034
_cell_angle_alpha 90.00
_cell_angle_beta 109.61
_cell_angle_gamma 90.00
loop_
_atom_site_label
_atom_site_fract_x
_atom_site_fract_y
_atom_site_fract_z
Sm1 0.0000 0.0000 0.0000
Ho1 0.0000 0.0000 0.5000
Ho2 0.1478 0.5000 0.7903
Ho3 0.3246 0.5000 0.1427
Ho4 0.4247 0.0000 0.3320
Tm1 0.2765 0.5000 0.4964
Tm2 0.5000 0.0000 0.0000


2.
# KVCu3 PBE relaxed
# Total magnetization: 3.44 μB per cell
# E_form: 9.5 eV per formula unit
# Energy above the lowest structure with this stoichiometry: 4.91 eV/f.u.
# E: -2.59 eV/atom
data_KVCu3
_chemical_formula_sum 'K1 V1 Cu3'
_space_group_name_H-M_alt 'P m -3 m'
_space_group_IT_number 221
_space_group_name_Hall '-P 4 2 3'
_cell_length_a 4.8690
_cell_length_b 4.8690
_cell_length_c 4.8690
_cell_angle_alpha 90.00
_cell_angle_beta 90.00
_cell_angle_gamma 90.00
loop_
_atom_site_label
_atom_site_fract_x
_atom_site_fract_y
_atom_site_fract_z
K1 0.0000 0.0000 0.0000
V1 0.5000 0.5000 0.5000
Cu1 0.0000 0.0000 0.5000


3.
# Na3Np2AgSe6 PBE relaxed
# Total magnetization: 12.00 μB per cell
# Uncorrected formation energy: -1.028 eV/atom
# E: -5.49 eV/atom
data_Na3Np2AgSe6
_chemical_formula_sum 'Na6 Np4 Ag2 Se12'
_space_group_name_H-M_alt 'C 1 2/m 1'
_space_group_IT_number 12
_space_group_name_Hall '-C 2y'
_cell_length_a 7.1422
_cell_length_b 12.3501
_cell_length_c 7.3669
_cell_angle_alpha 90.00
_cell_angle_beta 108.85
_cell_angle_gamma 90.00
loop_
_atom_site_label
_atom_site_fract_x
_atom_site_fract_y
_atom_site_fract_z
Na1 0.0000 0.0000 0.0000
Na2 0.0000 0.3395 0.0000
Np1 0.0000 0.1673 0.5000
Ag1 0.0000 0.5000 0.5000
Se1 0.2300 0.0000 0.7293
Se2 0.2499 0.1733 0.2706


4.
# Ca2AsW PBE relaxed
# Total magnetization: 1.09 μB per cell
# E_form: 2.3 eV per formula unit
# E: -4.82 eV/atom
data_Ca2AsW
_chemical_formula_sum 'Ca4 As2 W2'
_space_group_name_H-M_alt 'C 1 2/m 1'
_space_group_IT_number 12
_space_group_name_Hall '-C 2y'
_cell_length_a 9.5112
_cell_length_b 2.9984
_cell_length_c 6.4972
_cell_angle_alpha 90.00
_cell_angle_beta 97.30
_cell_angle_gamma 90.00
loop_
_atom_site_label
_atom_site_fract_x
_atom_site_fract_y
_atom_site_fract_z
Ca1 0.2462 0.0000 0.2497
As1 0.0000 0.5000 0.0000
W1 0.0000 0.0000 0.5000


5.
# Mg5Si6 PBE relaxed
# Total magnetization: 0.00 μB per cell
# Energy above the lowest structure with this stoichiometry: 0.75 eV/f.u.
# Uncorrected formation energy: 0.094 eV/atom
# E: -3.59 eV/atom
data_Mg5Si6
_chemical_formula_sum 'Mg10 Si12'
_space_group_name_H-M_alt 'P 1'
_space_group_IT_number 1
_space_group_name_Hall 'P 1'
_cell_length_a 5.8954
_cell_length_b 5.9358
_cell_length_c 12.1583
_cell_angle_alpha 88.87
_cell_angle_beta 87.81
_cell_angle_gamma 88.91
loop_
_atom_site_label
_atom_site_fract_x
_atom_site_fract_y
_atom_site_fract_z
Mg1 0.0000 0.0000 0.0000
Mg2 0.0243 0.2091 0.7393
Mg3 0.0507 0.1626 0.4592
Mg4 0.2144 0.9558 0.2405
Mg5 0.2907 0.7702 0.8149
Mg6 0.5279 0.3403 0.7291
Mg7 0.5583 0.2665 0.4586
Mg8 0.7379 0.2169 0.2132
Mg9 0.7738 0.4804 0.9652
Mg10 0.8045 0.7324 0.3859
Si1 0.2462 0.5484 0.0909
Si2 0.2467 0.3485 0.9206
Si3 0.2525 0.5887 0.5917
Si4 0.2951 0.3791 0.2752
Si5 0.3326 0.6843 0.4027
Si6 0.3437 0.9850 0.6096
Si7 0.5331 0.8320 0.0901
Si8 0.5568 0.0817 0.9383
Si9 0.7511 0.9104 0.6146
Si10 0.7693 0.8278 0.8133
Si11 0.8511 0.5170 0.5908
Si12 0.8773 0.6810 0.1667


6.
# AcNpSe PBE relaxed
# Total magnetization: 80.07 μB per cell
# Energy above the lowest structure with this stoichiometry: 0.30 eV/f.u.
# Uncorrected formation energy: -0.308 eV/atom
# E: -7.15 eV/atom
data_AcNpSe
_chemical_formula_sum 'Ac16 Np16 Se16'
_space_group_name_H-M_alt 'F d d d'
_space_group_IT_number 70
_cell_length_a 7.2960
_cell_length_b 13.2820
_cell_length_c 16.3297
_cell_angle_alpha 90.00
_cell_angle_beta 90.00
_cell_angle_gamma 90.00
loop_
_space_group_symop_operation_xyz
'x,y,z'
'-x,-y,-z'
'-x+1/4,-y+1/4,z'
'x+1/4,y+1/4,-z'
'x,-y+1/4,-z+1/4'
'-x,y+1/4,z+1/4'
'-x+1/4,y,-z+1/4'
'x+1/4,-y,z+1/4'
'x,y+1/2,z+1/2'
'-x,-y+1/2,-z+1/2'
'-x+1/4,-y+3/4,z+1/2'
'x+1/4,y+3/4,-z+1/2'
'x,-y+3/4,-z+3/4'
'-x,y+3/4,z+3/4'
'-x+1/4,y+1/2,-z+3/4'
'x+1/4,-y+1/2,z+3/4'
'x+1/2,y,z+1/2'
'-x+1/2,-y,-z+1/2'
'-x+3/4,-y+1/4,z+1/2'
'x+3/4,y+1/4,-z+1/2'
'x+1/2,-y+1/4,-z+3/4'
'-x+1/2,y+1/4,z+3/4'
'-x+3/4,y,-z+3/4'
'x+3/4,-y,z+3/4'
'x+1/2,y+1/2,z'
'-x+1/2,-y+1/2,-z'
'-x+3/4,-y+3/4,z'
'x+3/4,y+3/4,-z'
'x+1/2,-y+3/4,-z+1/4'
'-x+1/2,y+3/4,z+1/4'
'-x+3/4,y+1/2,-z+1/4'
'x+3/4,-y+1/2,z+1/4'
loop_
_atom_site_label
_atom_site_fract_x
_atom_site_fract_y
_atom_site_fract_z
Ac1 0.1250 0.1250 0.0032
Np1 0.1250 0.1250 0.4924
Se1 0.1250 0.2704 0.6250